Computed, not measured: crystalline PuPaFeO6 at its relaxed geometry at the GGA+U level of DFT.

Values from the calculation:
Raw total energy ... -9.1624 eV per atom
Space group ... No. 163

a b c (Å): 5.8178 5.8178 8.7605
angles (deg): 90.00 90.00 120.00
Last column: magnetic moment on the atom in μB.
Sites, in units of the cell vectors:
Pu  0.6667  0.3333  0.2500  3.40
Pu  0.3333  0.6667  0.7500  3.40
Pa  0.3333  0.6667  0.2500  0.06
Pa  0.6667  0.3333  0.7500  0.06
Fe  0.0000  0.0000  0.0000  3.78
Fe  0.0000  0.0000  0.5000  3.78
O  0.6599  0.6536  0.1318  -0.06
O  0.9936  0.3401  0.1318  -0.06
O  0.3401  0.9936  0.6318  -0.06
O  0.0064  0.6599  0.8682  -0.06
O  0.3464  0.3401  0.3682  -0.06
O  0.9936  0.6536  0.3682  -0.06
O  0.6536  0.9936  0.8682  -0.06
O  0.6599  0.0064  0.3682  -0.06
O  0.0064  0.3464  0.6318  -0.06
O  0.3464  0.0064  0.1318  -0.06
O  0.6536  0.6599  0.6318  -0.06
O  0.3401  0.3464  0.8682  -0.06